VASP calculation (GGA+U) on an optimized crystal structure of Co2TePtO.

Computed properties:
Theoretical density, g/cm³: 7.91
Space-group type: No. 123
VASP energy, eV per cell: -22.19
Spin magnetization, μB/f.u.: 5.348

Structure (POSCAR):
```
Co2TePtO
1.0
5.058 0.000 0.000
0.000 3.745 0.000
0.000 0.000 5.058
Te Co O Pt
1 2 1 1
Direct
0.500 0.500 0.500
0.000 0.000 0.500
0.500 0.000 0.000
0.000 0.500 0.000
0.000 0.000 0.000
```